No. 1
## Pr6AgTe8 (PBE)

Data for an optimized crystal structure of Pr6AgTe8.

- Crystal system: trigonal
- Formation energy (no corrections): -123 kJ/mol of atoms

Cell and atoms, written as POSCAR:
```
Pr6AgTe8
1.0
7.935 0.258 2.761
2.044 7.672 2.761
0.325 0.258 8.395
Te Pr Ag
8 6 1
Cartesian
3.413 2.712 4.610
3.323 1.042 8.112
6.891 5.476 9.308
7.243 3.001 4.056
7.756 1.810 8.373
6.982 7.146 5.806
2.549 6.378 5.545
3.061 5.187 9.862
5.842 0.881 5.969
5.232 2.696 10.093
5.073 5.492 3.825
1.763 3.701 7.330
4.462 7.307 7.950
8.542 4.487 6.588
0.000 0.000 0.000
```

=====

No. 2
## P2OsSe (PBE)

Data for an optimized crystal structure of P2OsSe.

- Crystal system: orthorhombic
- Formation energy (no corrections): 27 kJ/mol of atoms

Cell and atoms, written as POSCAR:
```
P2OsSe
1.0
-2.699 -1.430 2.995
0.046 -3.602 -1.679
2.996 -1.872 1.805
P Os Se
2 1 1
Cartesian
1.705 -3.073 0.068
2.858 -5.139 0.121
0.932 -4.821 1.592
-0.589 -2.084 1.529
```